Record 1
Entry from Alexandria: an optimized crystal structure of PmDy2Tm7 (GGA-PBE).

Properties
- ΔE_f (eV per atom) = 0.02
- polymorph energy (0 for the lowest one) (kJ per mole of atoms) = 0.0

Cell lengths 6.080, 7.036, 7.844 Å; angles 77.18, 75.06, 73.29 degrees
Fractional positions:
Pm 0.000 0.000 0.000
Dy 0.200 0.300 0.600
Dy 0.800 0.700 0.400
Tm 0.000 0.500 0.000
Tm 0.201 0.799 0.600
Tm 0.400 0.100 0.200
Tm 0.401 0.599 0.201
Tm 0.599 0.401 0.799
Tm 0.600 0.900 0.800
Tm 0.799 0.201 0.400

Record 2
Entry from Alexandria: an optimized crystal structure of ZnI2Cl2 (GGA-PBE).

Properties
- formation energy from raw total energies (kJ/mol of formula units) = -43
- polymorph energy (0 for the lowest one) (kJ per mole of atoms) = 30.7

Cell lengths 8.067, 8.067, 5.501 Å; angles 90.00, 90.00, 90.00 degrees
Fractional positions:
Zn 0.000 0.000 0.000
Zn 0.500 0.500 0.000
I 0.227 0.273 0.000
I 0.273 0.773 0.000
I 0.727 0.227 0.000
I 0.773 0.727 0.000
Cl 0.230 0.270 0.500
Cl 0.270 0.770 0.500
Cl 0.730 0.230 0.500
Cl 0.770 0.730 0.500